Below is crystalline AcHfPtO6 at its relaxed geometry, with properties calculated at the PBE-GGA level.

abc: 5.063 5.063 10.097
angles: 90.00 90.00 90.00
Fractional positions:
O 0.333 0.333 0.993
O 0.712 0.712 0.695
O 0.719 0.719 0.309
O 0.288 0.288 0.695
O 0.281 0.281 0.309
O 0.833 0.167 0.493
O 0.167 0.833 0.493
O 0.212 0.788 0.195
O 0.781 0.219 0.809
O 0.219 0.781 0.809
O 0.667 0.667 0.993
O 0.788 0.212 0.195
Pt 0.500 0.500 0.832
Pt 0.000 0.000 0.332
Hf 0.500 0.500 0.168
Hf 0.000 0.000 0.668
Ac 0.500 0.500 0.506
Ac 0.000 0.000 0.006

Calculated values
- Density of states at the Fermi level: 0.687 states/eV per atom
- ΔE_f (raw): -2128.1 meV/atom
- Volume: 258.8 Å³ per cell